Density functional theory data (SCAN) for Rb2CrO4 at its PBEsol-relaxed geometry.

Total magnetization, μB/cell: 0.00
Crystal system: orthorhombic
E, eV/cell: -400.3
Space group: No. 62
Volume, Å³/atom: 18.22

Lattice parameters (Å, degrees): 6.013 7.954 10.665 90.00 90.00 90.00
Fractional positions:
Rb 0.750 0.487 0.196
Rb 0.250 0.513 0.804
Rb 0.750 0.987 0.304
Rb 0.250 0.013 0.696
Rb 0.750 0.167 0.914
Rb 0.250 0.833 0.086
Rb 0.750 0.667 0.586
Rb 0.250 0.333 0.414
Cr 0.750 0.732 0.921
Cr 0.250 0.268 0.079
Cr 0.750 0.232 0.579
Cr 0.250 0.768 0.421
O 0.026 0.196 0.150
O 0.526 0.804 0.850
O 0.474 0.696 0.350
O 0.974 0.304 0.650
O 0.974 0.804 0.850
O 0.474 0.196 0.150
O 0.526 0.304 0.650
O 0.026 0.696 0.350
O 0.750 0.798 0.068
O 0.250 0.202 0.932
O 0.750 0.298 0.432
O 0.250 0.702 0.568
O 0.250 0.975 0.418
O 0.750 0.025 0.582
O 0.250 0.475 0.082
O 0.750 0.525 0.918

Density functional theory data (SCAN) for Rb2Cr2O7 at its PBEsol-relaxed geometry.

Total magnetization, μB/cell: 0.01
Crystal system: monoclinic
E, eV/cell: -578.4
Space group: No. 14
Volume, Å³/atom: 18.03

Lattice parameters (Å, degrees): 7.602 7.669 13.649 85.64 90.00 90.00
Fractional positions:
Rb 0.732 0.700 0.362
Rb 0.768 0.200 0.862
Rb 0.886 0.361 0.157
Rb 0.268 0.300 0.638
Rb 0.386 0.139 0.343
Rb 0.114 0.639 0.843
Rb 0.232 0.800 0.138
Rb 0.614 0.861 0.657
Cr 0.337 0.316 0.082
Cr 0.215 0.615 0.391
Cr 0.837 0.184 0.418
Cr 0.163 0.816 0.582
Cr 0.785 0.385 0.609
Cr 0.715 0.885 0.109
Cr 0.663 0.684 0.918
Cr 0.285 0.115 0.891
O 0.086 0.558 0.305
O 0.855 0.742 0.155
O 0.318 0.448 0.441
O 0.417 0.212 0.979
O 0.645 0.242 0.655
O 0.499 0.615 0.857
O 0.182 0.948 0.941
O 0.276 0.676 0.651
O 0.583 0.788 0.021
O 0.224 0.176 0.151
O 0.791 0.522 0.954
O 0.355 0.758 0.345
O 0.501 0.385 0.143
O 0.001 0.115 0.357
O 0.414 0.058 0.805
O 0.291 0.978 0.546
O 0.776 0.824 0.849
O 0.818 0.052 0.059
O 0.709 0.022 0.454
O 0.083 0.712 0.479
O 0.999 0.885 0.643
O 0.586 0.942 0.195
O 0.914 0.442 0.695
O 0.209 0.478 0.046
O 0.682 0.552 0.559
O 0.917 0.288 0.521
O 0.724 0.324 0.349
O 0.145 0.258 0.845

Density functional theory data (SCAN) for Rb2CrSiO at its PBEsol-relaxed geometry.

Total magnetization, μB/cell: 5.62
Crystal system: tetragonal
E, eV/cell: -76.9
Space group: No. 123
Volume, Å³/atom: 31.75

Lattice parameters (Å, degrees): 3.567 6.671 6.671 90.00 90.00 90.00
Fractional positions:
Cr 0.000 0.000 0.000
Si 0.500 0.500 0.500
O 0.500 0.000 0.000
Rb 0.000 0.000 0.500
Rb 0.000 0.500 0.000

Density functional theory data (SCAN) for CrReO4 at its PBEsol-relaxed geometry.

Total magnetization, μB/cell: 11.53
Crystal system: orthorhombic
E, eV/cell: -505.5
Space group: No. 63
Relative energy among the computed polymorphs, meV/atom: 6
Volume, Å³/atom: 10.10

Lattice parameters (Å, degrees): 5.666 6.441 7.222 90.00 113.10 90.00
Fractional positions:
Cr 0.619 0.250 0.238
Cr 0.381 0.750 0.762
Cr 0.867 0.750 0.734
Cr 0.133 0.250 0.266
Re 0.652 0.250 0.751
Re 0.348 0.750 0.249
Re 0.099 0.250 0.751
Re 0.901 0.750 0.249
O 0.720 0.750 0.440
O 0.470 0.250 0.941
O 0.238 0.750 0.477
O 0.989 0.250 0.978
O 0.011 0.750 0.022
O 0.762 0.250 0.523
O 0.530 0.750 0.059
O 0.280 0.250 0.560
O 0.630 0.950 0.749
O 0.370 0.450 0.251
O 0.120 0.950 0.749
O 0.880 0.450 0.251
O 0.630 0.550 0.749
O 0.370 0.050 0.251
O 0.120 0.550 0.749
O 0.880 0.050 0.251

- Which of these has the highest total magnetization?
  CrReO4

- What is the volume in the second record?
  18.03 Å³/atom

Copy entry 1 word for word.
Density functional theory data (SCAN) for Rb2CrO4 at its PBEsol-relaxed geometry.

Total magnetization, μB/cell: 0.00
Crystal system: orthorhombic
E, eV/cell: -400.3
Space group: No. 62
Volume, Å³/atom: 18.22

Lattice parameters (Å, degrees): 6.013 7.954 10.665 90.00 90.00 90.00
Fractional positions:
Rb 0.750 0.487 0.196
Rb 0.250 0.513 0.804
Rb 0.750 0.987 0.304
Rb 0.250 0.013 0.696
Rb 0.750 0.167 0.914
Rb 0.250 0.833 0.086
Rb 0.750 0.667 0.586
Rb 0.250 0.333 0.414
Cr 0.750 0.732 0.921
Cr 0.250 0.268 0.079
Cr 0.750 0.232 0.579
Cr 0.250 0.768 0.421
O 0.026 0.196 0.150
O 0.526 0.804 0.850
O 0.474 0.696 0.350
O 0.974 0.304 0.650
O 0.974 0.804 0.850
O 0.474 0.196 0.150
O 0.526 0.304 0.650
O 0.026 0.696 0.350
O 0.750 0.798 0.068
O 0.250 0.202 0.932
O 0.750 0.298 0.432
O 0.250 0.702 0.568
O 0.250 0.975 0.418
O 0.750 0.025 0.582
O 0.250 0.475 0.082
O 0.750 0.525 0.918

Please write out number 1 again, unchanged.
Density functional theory data (SCAN) for Rb2CrO4 at its PBEsol-relaxed geometry.

Total magnetization, μB/cell: 0.00
Crystal system: orthorhombic
E, eV/cell: -400.3
Space group: No. 62
Volume, Å³/atom: 18.22

Lattice parameters (Å, degrees): 6.013 7.954 10.665 90.00 90.00 90.00
Fractional positions:
Rb 0.750 0.487 0.196
Rb 0.250 0.513 0.804
Rb 0.750 0.987 0.304
Rb 0.250 0.013 0.696
Rb 0.750 0.167 0.914
Rb 0.250 0.833 0.086
Rb 0.750 0.667 0.586
Rb 0.250 0.333 0.414
Cr 0.750 0.732 0.921
Cr 0.250 0.268 0.079
Cr 0.750 0.232 0.579
Cr 0.250 0.768 0.421
O 0.026 0.196 0.150
O 0.526 0.804 0.850
O 0.474 0.696 0.350
O 0.974 0.304 0.650
O 0.974 0.804 0.850
O 0.474 0.196 0.150
O 0.526 0.304 0.650
O 0.026 0.696 0.350
O 0.750 0.798 0.068
O 0.250 0.202 0.932
O 0.750 0.298 0.432
O 0.250 0.702 0.568
O 0.250 0.975 0.418
O 0.750 0.025 0.582
O 0.250 0.475 0.082
O 0.750 0.525 0.918